(1)
Here is a geometry-optimized Cs2SiGe2 structure from the Alexandria database. Energies are from PBE.

Values from the calculation:
DFT total energy in eV/atom: -3.084
Offset from the most stable computed form in meV per atom: 0
N(E_F) in states/eV/cell: 1.5
E_form (uncorrected) in eV/f.u.: 0.9
Space-group type: P4/mbm (127)

Cell: 6.9706 6.9706 6.2621 Å, 90.00 90.00 90.00°
Sites, in units of the cell vectors:
Cs (0.1874, 0.3126, 0.0000)
Cs (0.3126, 0.8126, 0.0000)
Cs (0.6874, 0.1874, 0.0000)
Cs (0.8126, 0.6874, 0.0000)
Si (0.0000, 0.0000, 0.5000)
Si (0.5000, 0.5000, 0.5000)
Ge (0.1303, 0.6303, 0.5000)
Ge (0.3697, 0.1303, 0.5000)
Ge (0.6303, 0.8697, 0.5000)
Ge (0.8697, 0.3697, 0.5000)

***

(2)
Here is a geometry-optimized CsSi2Ge8 structure from the Alexandria database. Energies are from PBE.

Values from the calculation:
DFT total energy in eV/atom: -4.212
N(E_F) in states/eV/cell: 3.1
E_form (uncorrected) in eV/f.u.: 2.3
Space-group type: P-1 (2)

Cell: 5.1205 6.0509 9.9171 Å, 99.27 90.38 114.59°
Sites, in units of the cell vectors:
Cs (0.0000, 0.0000, 0.0000)
Si (0.2732, 0.5429, 0.4757)
Si (0.7268, 0.4571, 0.5243)
Ge (0.0377, 0.0700, 0.3874)
Ge (0.2148, 0.4392, 0.7345)
Ge (0.3238, 0.6410, 0.2355)
Ge (0.4409, 0.8879, 0.6793)
Ge (0.5591, 0.1121, 0.3207)
Ge (0.6762, 0.3590, 0.7645)
Ge (0.7852, 0.5608, 0.2655)
Ge (0.9623, 0.9300, 0.6126)

***

(3)
Here is a geometry-optimized CsSi2Ge structure from the Alexandria database. Energies are from PBE.

Values from the calculation:
DFT total energy in eV/atom: -3.775
N(E_F) in states/eV/cell: 3.9
E_form (uncorrected) in eV/f.u.: 1.2
Space-group type: I4_1/amd (141)

Cell: 9.4363 9.4363 9.4363 Å, 147.69 147.69 46.34°
Sites, in units of the cell vectors:
Cs (0.3750, 0.6250, 0.7500)
Cs (0.6250, 0.3750, 0.2500)
Si (0.0000, 0.0000, 0.0000)
Si (0.0000, 0.0000, 0.5000)
Si (0.0000, 0.5000, 0.0000)
Si (0.5000, 0.0000, 0.5000)
Ge (0.1250, 0.8750, 0.2500)
Ge (0.8750, 0.1250, 0.7500)

***

(4)
Here is a geometry-optimized CsSiGe3 structure from the Alexandria database. Energies are from PBE.

Values from the calculation:
DFT total energy in eV/atom: -1.885
Offset from the most stable computed form in meV per atom: 2081
N(E_F) in states/eV/cell: 4.5
E_form (uncorrected) in eV/f.u.: 10.7
Space-group type: Pm-3m (221)

Cell: 5.6887 5.6887 5.6887 Å, 90.00 90.00 90.00°
Sites, in units of the cell vectors:
Cs (0.0000, 0.0000, 0.0000)
Si (0.5000, 0.5000, 0.5000)
Ge (0.0000, 0.0000, 0.5000)
Ge (0.0000, 0.5000, 0.0000)
Ge (0.5000, 0.0000, 0.0000)

***

(5)
Here is a geometry-optimized CsSiGe3 structure from the Alexandria database. Energies are from PBE.

Values from the calculation:
DFT total energy in eV/atom: -3.966
Offset from the most stable computed form in meV per atom: 0
N(E_F) in states/eV/cell: 9.0
E_form (uncorrected) in eV/f.u.: 0.3
Space-group type: P2_1/c (14)

Cell: 9.1577 6.4245 10.8188 Å, 90.00 108.18 90.00°
Sites, in units of the cell vectors:
Cs (0.1185, 0.2499, 0.1507)
Cs (0.1185, 0.2501, 0.6507)
Cs (0.8815, 0.7499, 0.3493)
Cs (0.8815, 0.7501, 0.8493)
Si (0.5003, 0.0012, 0.1676)
Si (0.5003, 0.4988, 0.6676)
Si (0.4997, 0.5012, 0.3324)
Si (0.4997, 0.9988, 0.8324)
Ge (0.2976, 0.6049, 0.9458)
Ge (0.2976, 0.8951, 0.4458)
Ge (0.3108, 0.7505, 0.1990)
Ge (0.3108, 0.7495, 0.6990)
Ge (0.4324, 0.2399, 0.9818)
Ge (0.4324, 0.2601, 0.4818)
Ge (0.5676, 0.7399, 0.5182)
Ge (0.5676, 0.7601, 0.0182)
Ge (0.6892, 0.2505, 0.3010)
Ge (0.6892, 0.2495, 0.8010)
Ge (0.7024, 0.1049, 0.5542)
Ge (0.7024, 0.3951, 0.0542)

***

(6)
Here is a geometry-optimized Cs2SiGe2 structure from the Alexandria database. Energies are from PBE.

Values from the calculation:
DFT total energy in eV/atom: -2.864
Offset from the most stable computed form in meV per atom: 221
N(E_F) in states/eV/cell: 3.8
E_form (uncorrected) in eV/f.u.: 2.0
Space-group type: I4/mmm (139)

Cell: 12.4337 12.4337 12.4337 Å, 162.54 162.54 24.79°
Sites, in units of the cell vectors:
Cs (0.1054, 0.1054, 0.0000)
Cs (0.8946, 0.8946, 0.0000)
Si (0.5000, 0.5000, 0.0000)
Ge (0.2500, 0.7500, 0.5000)
Ge (0.7500, 0.2500, 0.5000)

***

(7)
Here is a geometry-optimized CsSiTc2Ge structure from the Alexandria database. Energies are from PBE.

Values from the calculation:
DFT total energy in eV/atom: -3.365
N(E_F) in states/eV/cell: 5.0
E_form (uncorrected) in eV/f.u.: 14.8
Space-group type: P4/mmm (123)

Cell: 5.0146 5.0146 5.3875 Å, 90.00 90.00 90.00°
Sites, in units of the cell vectors:
Cs (0.0000, 0.0000, 0.0000)
Si (0.0000, 0.0000, 0.5000)
Tc (0.0000, 0.5000, 0.0000)
Tc (0.5000, 0.0000, 0.0000)
Ge (0.5000, 0.5000, 0.5000)

***

(8)
Here is a geometry-optimized CsSiGe2Te structure from the Alexandria database. Energies are from PBE.

Values from the calculation:
DFT total energy in eV/atom: -2.741
N(E_F) in states/eV/cell: 3.0
E_form (uncorrected) in eV/f.u.: 4.9
Space-group type: P4/mmm (123)

Cell: 5.6160 5.6160 7.0260 Å, 90.00 90.00 90.00°
Sites, in units of the cell vectors:
Cs (0.0000, 0.0000, 0.0000)
Si (0.5000, 0.5000, 0.0000)
Ge (0.0000, 0.5000, 0.5000)
Ge (0.5000, 0.0000, 0.5000)
Te (0.0000, 0.0000, 0.5000)

***

(9)
Here is a geometry-optimized Cs2SiGeTe4 structure from the Alexandria database. Energies are from PBE.

Values from the calculation:
DFT total energy in eV/atom: -3.560
E_form (uncorrected) in eV/f.u.: -4.2
Space-group type: Fddd (70)

Cell: 15.6444 13.9896 8.5094 Å, 84.37 62.86 32.77°
Sites, in units of the cell vectors:
Cs (0.0569, 0.0569, 0.6931)
Cs (0.3069, 0.3069, 0.9431)
Cs (0.6931, 0.6931, 0.0569)
Cs (0.9431, 0.9431, 0.3069)
Si (0.3750, 0.3750, 0.3750)
Si (0.6250, 0.6250, 0.6250)
Ge (0.1250, 0.1250, 0.1250)
Ge (0.8750, 0.8750, 0.8750)
Te (0.0128, 0.6280, 0.5467)
Te (0.3125, 0.5467, 0.6280)
Te (0.3720, 0.9872, 0.6875)
Te (0.4533, 0.6875, 0.9872)
Te (0.5467, 0.3125, 0.0128)
Te (0.6280, 0.0128, 0.3125)
Te (0.6875, 0.4533, 0.3720)
Te (0.9872, 0.3720, 0.4533)

***

(10)
Here is a geometry-optimized Cs2SmGeTe4 structure from the Alexandria database. Energies are from PBE.

Values from the calculation:
DFT total energy in eV/atom: -3.772
N(E_F) in states/eV/cell: 10.5
E_form (uncorrected) in eV/f.u.: -6.6
Space-group type: Fddd (70)

Cell: 16.1167 14.4773 8.6954 Å, 84.20 63.34 32.46°
Sites, in units of the cell vectors:
Cs (0.0567, 0.0567, 0.6933)
Cs (0.3067, 0.3067, 0.9433)
Cs (0.6933, 0.6933, 0.0567)
Cs (0.9433, 0.9433, 0.3067)
Sm (0.1250, 0.1250, 0.1250)
Sm (0.8750, 0.8750, 0.8750)
Ge (0.3750, 0.3750, 0.3750)
Ge (0.6250, 0.6250, 0.6250)
Te (0.0119, 0.3474, 0.4469)
Te (0.3062, 0.5531, 0.6526)
Te (0.3474, 0.0119, 0.6938)
Te (0.4469, 0.6938, 0.0119)
Te (0.5531, 0.3062, 0.9881)
Te (0.6526, 0.9881, 0.3062)
Te (0.6938, 0.4469, 0.3474)
Te (0.9881, 0.6526, 0.5531)

***

(11)
Here is a geometry-optimized Cs2Sn2Ge structure from the Alexandria database. Energies are from PBE.

Values from the calculation:
DFT total energy in eV/atom: -2.895
Energy of formation from the pure elements in meV per atom: -29
Offset from the most stable computed form in meV per atom: 54
N(E_F) in states/eV/cell: 1.7
Space-group type: P4/mbm (127)

Cell: 7.6270 7.6270 6.5351 Å, 90.00 90.00 90.00°
Sites, in units of the cell vectors:
Cs (0.1791, 0.3209, 0.0000)
Cs (0.3209, 0.8209, 0.0000)
Cs (0.6791, 0.1791, 0.0000)
Cs (0.8209, 0.6791, 0.0000)
Sn (0.1386, 0.6386, 0.5000)
Sn (0.3614, 0.1386, 0.5000)
Sn (0.6386, 0.8614, 0.5000)
Sn (0.8614, 0.3614, 0.5000)
Ge (0.0000, 0.0000, 0.5000)
Ge (0.5000, 0.5000, 0.5000)

***

(12)
Here is a geometry-optimized Cs2Sn3Ge2 structure from the Alexandria database. Energies are from PBE.

Values from the calculation:
DFT total energy in eV/atom: -3.368
Energy of formation from the pure elements in meV per atom: -90
N(E_F) in states/eV/cell: 2.9
Space-group type: C2/m (12)

Cell: 7.7224 7.7224 9.2135 Å, 120.73 120.73 31.48°
Sites, in units of the cell vectors:
Cs (0.1248, 0.1248, 0.2667)
Cs (0.8752, 0.8752, 0.7333)
Sn (0.3549, 0.3549, 0.0770)
Sn (0.5000, 0.5000, 0.5000)
Sn (0.6451, 0.6451, 0.9230)
Ge (0.1586, 0.1586, 0.7233)
Ge (0.8414, 0.8414, 0.2767)

***

What is the formula in the eighth record?
CsSiGe2Te

***

Repeat the seventh record exactly.
Here is a geometry-optimized CsSiTc2Ge structure from the Alexandria database. Energies are from PBE.

Values from the calculation:
DFT total energy in eV/atom: -3.365
N(E_F) in states/eV/cell: 5.0
E_form (uncorrected) in eV/f.u.: 14.8
Space-group type: P4/mmm (123)

Cell: 5.0146 5.0146 5.3875 Å, 90.00 90.00 90.00°
Sites, in units of the cell vectors:
Cs (0.0000, 0.0000, 0.0000)
Si (0.0000, 0.0000, 0.5000)
Tc (0.0000, 0.5000, 0.0000)
Tc (0.5000, 0.0000, 0.0000)
Ge (0.5000, 0.5000, 0.5000)